No. 1
Material: LiMgPt
Method: DFT, PBE
State: optimized geometry

POSCAR file:
```
LiMgPt
1.0
6.1930 -0.4337 1.0204
3.4354 2.9039 0.1422
-0.4394 0.3811 2.8284
Li Mg Pt
1 1 1
Cartesian
4.8142 1.2351 0.5813
1.7177 1.4520 0.0711
-0.2197 0.1905 1.4142
```

## Properties
As for the total energy: -3.7338 eV per atom. The energy above the most stable polymorph in this dataset comes out at 0.0899 eV per atom. The formation energy from the elements is -0.551 eV/atom. The space group is No. 10.

***

No. 2
Material: LiMgPt
Method: DFT, PBE
State: optimized geometry

POSCAR file:
```
LiMgPt
1.0
-3.7974 -2.6708 -0.9557
1.0291 -3.0780 4.5129
-4.0477 4.3605 3.8970
Li Mg Pt
4 4 4
Cartesian
-1.7040 -0.3471 1.8636
-3.2133 0.2942 6.0685
-5.1120 -1.0412 5.5907
-3.6027 -1.6825 1.3857
-3.2662 3.0263 4.5205
0.2476 -1.7438 3.8894
-2.6266 -2.0283 4.3507
-4.1895 0.6400 3.1035
-2.0238 2.1803 1.9485
-1.5093 0.6413 4.2050
-1.3842 -2.8744 1.7786
-1.8987 -1.3354 -0.4779
```

## Properties
As for the total energy: -3.8199 eV per atom. The energy above the most stable polymorph in this dataset comes out at 0.0038 eV per atom. The formation energy from the elements is -0.637 eV/atom. The space group is No. 74.

***

No. 3
Material: LiMg3Pt2
Method: DFT, PBE
State: optimized geometry

POSCAR file:
```
LiMg3Pt2
1.0
-1.9987 0.5743 -2.5244
-2.2165 -3.7751 0.8961
-8.4077 6.8885 8.2239
Li Mg Pt
2 6 4
Cartesian
-7.3107 2.1310 2.0357
0.0000 0.0000 0.0000
-7.8043 3.0669 4.7581
-5.2031 3.7314 2.8498
-4.8185 0.6207 1.8376
-2.4923 1.5103 0.1980
-2.1076 -1.6004 -0.8142
-7.9142 5.9525 5.5014
-7.5316 5.1075 2.8877
-4.8733 2.9295 0.2875
-2.4375 -0.7986 1.7481
-8.1868 3.9119 7.3718
```

## Properties
As for the total energy: -3.7862 eV per atom. The energy above the most stable polymorph in this dataset comes out at 0.0000 eV per atom. The formation energy from the elements is -0.656 eV/atom. The space group is No. 65.

***

No. 4
Material: Li3MgPt
Method: DFT, PBE
State: optimized geometry

POSCAR file:
```
Li3MgPt
1.0
4.8909 0.0000 0.0000
0.0000 4.6033 -2.4222
0.0000 0.9166 7.3272
Li Mg Pt
6 2 2
Cartesian
3.6682 3.2351 3.1938
3.6682 0.8001 4.4751
1.2227 4.7197 0.4300
1.2227 2.2847 1.7112
0.0000 0.0000 0.0000
2.4455 0.0000 0.0000
3.6682 2.9371 -0.0035
1.2227 2.5828 4.9085
3.6682 0.9989 1.8983
1.2227 4.5210 3.0067
```

## Properties
As for the total energy: -3.0225 eV per atom. The energy above the most stable polymorph in this dataset comes out at 0.0309 eV per atom. The formation energy from the elements is -0.347 eV/atom. The space group is No. 63.